! Ta2H (SCAN, single point on PBEsol structure); values from VASP
! Space group = C222
! Fermi-level density of states = 2.9 states/eV per cell
! Relative energy among the computed polymorphs = 0 meV/atom
! Energy = -45.707 eV/atom
&SYSTEM
  ibrav = 0, nat = 6, ntyp = 2
/
ATOMIC_SPECIES
Ta 180.95 Ta.upf
H 1.01 H.upf
ATOMIC_POSITIONS crystal
Ta 0.250 0.250 0.236
Ta 0.250 0.750 0.764
Ta 0.750 0.250 0.764
Ta 0.750 0.750 0.236
H 0.000 0.500 0.500
H 0.500 0.000 0.500
CELL_PARAMETERS angstrom
3.366 0.000 0.000
0.000 4.736 0.000
0.000 0.000 4.748

! Ba2LaRu (SCAN, single point on PBEsol structure); values from VASP
! Space group = Pm
! Fermi-level density of states = 4.4 states/eV per cell
! Relative energy among the computed polymorphs = 0 meV/atom
! E_form = 0.10 eV per atom
! Energy = -39.156 eV/atom
&SYSTEM
  ibrav = 0, nat = 4, ntyp = 3
/
ATOMIC_SPECIES
Ba 137.33 Ba.upf
La 138.91 La.upf
Ru 101.07 Ru.upf
ATOMIC_POSITIONS crystal
Ba 0.000 0.000 0.000
Ba 0.308 0.500 0.619
La 0.646 0.500 0.296
Ru 0.161 0.000 0.334
CELL_PARAMETERS angstrom
4.157 0.000 0.000
0.000 3.876 0.000
-2.068 0.000 9.316

M_tot? In order: 0.0; 0.0 μB/cell.